(1)
## VHgH (PBE-GGA)

Data for a relaxed structure of VHgH.

The structure in CIF format:
```
data_VHgH
_chemical_formula_sum 'V2 Hg2 H2'
_cell_length_a 3.3198
_cell_length_b 3.3198
_cell_length_c 11.5708
_cell_angle_alpha 90.00
_cell_angle_beta 90.00
_cell_angle_gamma 120.00
_symmetry_space_group_name_H-M 'P 63/m m c'
_symmetry_Int_Tables_number 194
_symmetry_space_group_name_Hall '-P 6c 2c'
loop_
_atom_site_label
_atom_site_type_symbol
_atom_site_fract_x
_atom_site_fract_y
_atom_site_fract_z
V1 V 0.0000 0.0000 0.0000
Hg1 Hg 0.0000 0.0000 0.2500
H1 H 0.3333 0.6667 0.2500
```

Calculated values
The value obtained for the energy above the most stable polymorph in this dataset is 1178 meV per atom.

---

(2)
## CdO2F3 (PBE-GGA)

Data for a relaxed structure of CdO2F3.

The structure in CIF format:
```
data_CdO2F3
_chemical_formula_sum 'Cd4 O8 F12'
_cell_length_a 10.724
_cell_length_b 4.607
_cell_length_c 7.164
_cell_angle_alpha 90.00
_cell_angle_beta 104.18
_cell_angle_gamma 90.00
_symmetry_space_group_name_H-M 'C 1 2/c 1'
_symmetry_Int_Tables_number 15
_symmetry_space_group_name_Hall '-C 2yc'
loop_
_atom_site_label
_atom_site_type_symbol
_atom_site_fract_x
_atom_site_fract_y
_atom_site_fract_z
Cd1 Cd 0.000 0.001 0.250
O1 O 0.172 0.498 0.028
F1 F 0.000 0.499 0.750
F2 F 0.134 0.003 0.049
```

Calculated values
For the formation energy (no corrections), the calculation gives -1.3 eV per formula unit.

---

(3)
## DyInGa2 (PBE-GGA)

Data for a relaxed structure of DyInGa2.

The structure in CIF format:
```
data_DyInGa2
_chemical_formula_sum 'Dy1 In1 Ga2'
_cell_length_a 4.477
_cell_length_b 4.477
_cell_length_c 4.264
_cell_angle_alpha 90.00
_cell_angle_beta 90.00
_cell_angle_gamma 90.00
_symmetry_space_group_name_H-M 'P 4/m m m'
_symmetry_Int_Tables_number 123
_symmetry_space_group_name_Hall '-P 4 2'
loop_
_atom_site_label
_atom_site_type_symbol
_atom_site_fract_x
_atom_site_fract_y
_atom_site_fract_z
Dy1 Dy 0.000 0.000 0.000
In1 In 0.500 0.500 0.000
Ga1 Ga 0.000 0.500 0.500
```

Calculated values
The value obtained for the energy above the most stable polymorph in this dataset is 0 meV per atom. The value obtained for the energy of formation is -182 kJ/mol of formula units.

---

(4)
## DyPaP2 (PBE-GGA)

Data for a relaxed structure of DyPaP2.

The structure in CIF format:
```
data_DyPaP2
_chemical_formula_sum 'Dy3 Pa3 P6'
_cell_length_a 3.9309
_cell_length_b 3.9309
_cell_length_c 20.4005
_cell_angle_alpha 90.00
_cell_angle_beta 90.00
_cell_angle_gamma 120.00
_symmetry_space_group_name_H-M 'R 3 m'
_symmetry_Int_Tables_number 160
_symmetry_space_group_name_Hall 'R 3 -2"'
loop_
_atom_site_label
_atom_site_type_symbol
_atom_site_fract_x
_atom_site_fract_y
_atom_site_fract_z
Dy1 Dy 0.0000 0.0000 0.0000
Pa1 Pa 0.0000 0.0000 0.1772
P1 P 0.0000 0.0000 0.5874
P2 P 0.0000 0.0000 0.7590
```

Calculated values
The value obtained for the energy above the most stable polymorph in this dataset is 160 meV per atom. The value obtained for the energy of formation is -501 kJ/mol of formula units.

---

(5)
## Zr2BiPb (PBE-GGA)

Data for a relaxed structure of Zr2BiPb.

The structure in CIF format:
```
data_Zr2BiPb
_chemical_formula_sum 'Zr6 Bi3 Pb3'
_cell_length_a 4.1460
_cell_length_b 4.1460
_cell_length_c 21.8283
_cell_angle_alpha 90.00
_cell_angle_beta 90.00
_cell_angle_gamma 120.00
_symmetry_space_group_name_H-M 'R 3 m'
_symmetry_Int_Tables_number 160
_symmetry_space_group_name_Hall 'R 3 -2"'
loop_
_atom_site_label
_atom_site_type_symbol
_atom_site_fract_x
_atom_site_fract_y
_atom_site_fract_z
Zr1 Zr 0.0000 0.0000 0.0000
Zr2 Zr 0.0000 0.0000 0.1691
Bi1 Bi 0.0000 0.0000 0.5829
Pb1 Pb 0.0000 0.0000 0.7523
```

Calculated values
The value obtained for the energy of formation is -24 kJ/mol of formula units.

---

(6)
## NbVCr (PBE-GGA)

Data for a relaxed structure of NbVCr.

The structure in CIF format:
```
data_NbVCr
_chemical_formula_sum 'Nb4 V4 Cr4'
_cell_length_a 9.371
_cell_length_b 4.213
_cell_length_c 5.389
_cell_angle_alpha 90.00
_cell_angle_beta 125.06
_cell_angle_gamma 90.00
_symmetry_space_group_name_H-M 'C 1 m 1'
_symmetry_Int_Tables_number 8
_symmetry_space_group_name_Hall 'C -2y'
loop_
_atom_site_label
_atom_site_type_symbol
_atom_site_fract_x
_atom_site_fract_y
_atom_site_fract_z
Nb1 Nb 0.000 0.000 0.000
Nb2 Nb 0.158 0.500 0.821
V1 V 0.312 0.000 0.634
V2 V 0.475 0.500 0.470
Cr1 Cr 0.159 0.500 0.329
Cr2 Cr 0.332 0.000 0.169
```

Calculated values
The value obtained for the energy above the most stable polymorph in this dataset is 164 meV per atom. The value obtained for the energy of formation is 16 kJ/mol of formula units.

---

(7)
## RbHfSb2N (PBE-GGA)

Data for a relaxed structure of RbHfSb2N.

The structure in CIF format:
```
data_RbHfSb2N
_chemical_formula_sum 'Rb1 Hf1 Sb2 N1'
_cell_length_a 5.992
_cell_length_b 5.992
_cell_length_c 4.054
_cell_angle_alpha 90.00
_cell_angle_beta 90.00
_cell_angle_gamma 90.00
_symmetry_space_group_name_H-M 'P 4/m m m'
_symmetry_Int_Tables_number 123
_symmetry_space_group_name_Hall '-P 4 2'
loop_
_atom_site_label
_atom_site_type_symbol
_atom_site_fract_x
_atom_site_fract_y
_atom_site_fract_z
Rb1 Rb 0.000 0.000 0.000
Hf1 Hf 0.500 0.500 0.500
Sb1 Sb 0.000 0.500 0.500
N1 N 0.500 0.500 0.000
```

Calculated values
For the formation energy (no corrections), the calculation gives 0.1 eV per formula unit.

---

(8)
## ReAsS2N (PBE-GGA)

Data for a relaxed structure of ReAsS2N.

The structure in CIF format:
```
data_ReAsS2N
_chemical_formula_sum 'Re1 As1 S2 N1'
_cell_length_a 4.794
_cell_length_b 4.794
_cell_length_c 3.728
_cell_angle_alpha 90.00
_cell_angle_beta 90.00
_cell_angle_gamma 90.00
_symmetry_space_group_name_H-M 'P 4/m m m'
_symmetry_Int_Tables_number 123
_symmetry_space_group_name_Hall '-P 4 2'
loop_
_atom_site_label
_atom_site_type_symbol
_atom_site_fract_x
_atom_site_fract_y
_atom_site_fract_z
Re1 Re 0.000 0.000 0.000
As1 As 0.500 0.500 0.500
S1 S 0.000 0.500 0.000
N1 N 0.000 0.000 0.500
```

Calculated values
For the formation energy (no corrections), the calculation gives 2.4 eV per formula unit. The value obtained for the energy above the most stable polymorph in this dataset is 0 meV per atom.

---

(9)
## RbZrC3 (PBE-GGA)

Data for a relaxed structure of RbZrC3.

The structure in CIF format:
```
data_RbZrC3
_chemical_formula_sum 'Rb1 Zr1 C3'
_cell_length_a 4.226
_cell_length_b 4.226
_cell_length_c 4.226
_cell_angle_alpha 90.00
_cell_angle_beta 90.00
_cell_angle_gamma 90.00
_symmetry_space_group_name_H-M 'P m -3 m'
_symmetry_Int_Tables_number 221
_symmetry_space_group_name_Hall '-P 4 2 3'
loop_
_atom_site_label
_atom_site_type_symbol
_atom_site_fract_x
_atom_site_fract_y
_atom_site_fract_z
Rb1 Rb 0.000 0.000 0.000
Zr1 Zr 0.500 0.500 0.500
C1 C 0.000 0.000 0.500
```

Calculated values
The value obtained for the energy above the most stable polymorph in this dataset is 1798 meV per atom. The value obtained for the energy of formation is 1736 kJ/mol of formula units.

---

(10)
## Sr2TeI (PBE-GGA)

Data for a relaxed structure of Sr2TeI.

The structure in CIF format:
```
data_Sr2TeI
_chemical_formula_sum 'Sr6 Te3 I3'
_cell_length_a 4.6447
_cell_length_b 4.6447
_cell_length_c 25.2473
_cell_angle_alpha 90.00
_cell_angle_beta 90.00
_cell_angle_gamma 120.00
_symmetry_space_group_name_H-M 'R 3 m'
_symmetry_Int_Tables_number 160
_symmetry_space_group_name_Hall 'R 3 -2"'
loop_
_atom_site_label
_atom_site_type_symbol
_atom_site_fract_x
_atom_site_fract_y
_atom_site_fract_z
Sr1 Sr 0.0000 0.0000 0.0000
Sr2 Sr 0.0000 0.0000 0.1867
Te1 Te 0.0000 0.0000 0.5961
I1 I 0.0000 0.0000 0.4226
```

Calculated values
For the formation energy (no corrections), the calculation gives -5.6 eV per formula unit. The value obtained for the energy above the most stable polymorph in this dataset is 20 meV per atom.

---

(11)
## MnMoN2 (PBE-GGA)

Data for a relaxed structure of MnMoN2.

The structure in CIF format:
```
data_MnMoN2
_chemical_formula_sum 'Mn4 Mo4 N8'
_cell_length_a 2.900
_cell_length_b 10.644
_cell_length_c 5.456
_cell_angle_alpha 90.00
_cell_angle_beta 90.00
_cell_angle_gamma 90.00
_symmetry_space_group_name_H-M 'C m c m'
_symmetry_Int_Tables_number 63
_symmetry_space_group_name_Hall '-C 2c 2'
loop_
_atom_site_label
_atom_site_type_symbol
_atom_site_fract_x
_atom_site_fract_y
_atom_site_fract_z
Mn1 Mn 0.000 0.007 0.250
Mo1 Mo 0.000 0.287 0.250
N1 N 0.000 0.135 0.514
```

Calculated values
For the formation energy (no corrections), the calculation gives -0.9 eV per formula unit.

---

(12)
## SrY2Zn (PBE-GGA)

Data for a relaxed structure of SrY2Zn.

The structure in CIF format:
```
data_SrY2Zn
_chemical_formula_sum 'Sr1 Y2 Zn1'
_cell_length_a 3.692
_cell_length_b 3.692
_cell_length_c 9.242
_cell_angle_alpha 90.00
_cell_angle_beta 90.00
_cell_angle_gamma 90.00
_symmetry_space_group_name_H-M 'P 4 m m'
_symmetry_Int_Tables_number 99
_symmetry_space_group_name_Hall 'P 4 -2'
loop_
_atom_site_label
_atom_site_type_symbol
_atom_site_fract_x
_atom_site_fract_y
_atom_site_fract_z
Sr1 Sr 0.000 0.000 0.000
Y1 Y 0.000 0.000 0.592
Y2 Y 0.500 0.500 0.333
Zn1 Zn 0.500 0.500 0.763
```

Calculated values
The value obtained for the energy of formation is -29 kJ/mol of formula units.

---

(13)
## LaPm2RuO8 (PBE-GGA)

Data for a relaxed structure of LaPm2RuO8.

The structure in CIF format:
```
data_LaPm2RuO8
_chemical_formula_sum 'La1 Pm2 Ru1 O8'
_cell_length_a 5.173
_cell_length_b 7.052
_cell_length_c 5.178
_cell_angle_alpha 90.00
_cell_angle_beta 90.17
_cell_angle_gamma 90.00
_symmetry_space_group_name_H-M 'P 1 2/m 1'
_symmetry_Int_Tables_number 10
_symmetry_space_group_name_Hall '-P 2y'
loop_
_atom_site_label
_atom_site_type_symbol
_atom_site_fract_x
_atom_site_fract_y
_atom_site_fract_z
La1 La 0.000 0.000 0.000
Pm1 Pm 0.500 0.252 0.500
Ru1 Ru 0.000 0.500 0.000
O1 O 0.182 0.300 0.181
O2 O 0.258 0.500 0.741
O3 O 0.312 0.000 0.686
```

Calculated values
For the formation energy (no corrections), the calculation gives -27.8 eV per formula unit.

---

(14)
## Ag2HgN2 (PBE-GGA)

Data for a relaxed structure of Ag2HgN2.

The structure in CIF format:
```
data_Ag2HgN2
_chemical_formula_sum 'Ag4 Hg2 N4'
_cell_length_a 6.471
_cell_length_b 6.471
_cell_length_c 3.440
_cell_angle_alpha 90.00
_cell_angle_beta 90.00
_cell_angle_gamma 90.00
_symmetry_space_group_name_H-M 'P 4/m b m'
_symmetry_Int_Tables_number 127
_symmetry_space_group_name_Hall '-P 4 2ab'
loop_
_atom_site_label
_atom_site_type_symbol
_atom_site_fract_x
_atom_site_fract_y
_atom_site_fract_z
Ag1 Ag 0.151 0.349 0.000
Hg1 Hg 0.000 0.000 0.500
N1 N 0.163 0.663 0.500
```

Calculated values
For the formation energy (no corrections), the calculation gives 7.1 eV per formula unit. The value obtained for the energy above the most stable polymorph in this dataset is 904 meV per atom.

---

(15)
## La2TbHg (PBE-GGA)

Data for a relaxed structure of La2TbHg.

The structure in CIF format:
```
data_La2TbHg
_chemical_formula_sum 'La8 Tb4 Hg4'
_cell_length_a 7.946
_cell_length_b 7.946
_cell_length_c 7.946
_cell_angle_alpha 90.00
_cell_angle_beta 90.00
_cell_angle_gamma 90.00
_symmetry_space_group_name_H-M 'F m -3 m'
_symmetry_Int_Tables_number 225
_symmetry_space_group_name_Hall '-F 4 2 3'
loop_
_atom_site_label
_atom_site_type_symbol
_atom_site_fract_x
_atom_site_fract_y
_atom_site_fract_z
La1 La 0.250 0.250 0.250
Tb1 Tb 0.000 0.000 0.000
Hg1 Hg 0.000 0.000 0.500
```

Calculated values
The value obtained for the energy above the most stable polymorph in this dataset is 144 meV per atom. The value obtained for the energy of formation is -38 kJ/mol of formula units.

---

(16)
## Y2Mn2Ag (PBE-GGA)

Data for a relaxed structure of Y2Mn2Ag.

The structure in CIF format:
```
data_Y2Mn2Ag
_chemical_formula_sum 'Y4 Mn4 Ag2'
_cell_length_a 7.331
_cell_length_b 7.331
_cell_length_c 3.974
_cell_angle_alpha 90.00
_cell_angle_beta 90.00
_cell_angle_gamma 90.00
_symmetry_space_group_name_H-M 'P 4/m b m'
_symmetry_Int_Tables_number 127
_symmetry_space_group_name_Hall '-P 4 2ab'
loop_
_atom_site_label
_atom_site_type_symbol
_atom_site_fract_x
_atom_site_fract_y
_atom_site_fract_z
Y1 Y 0.172 0.328 0.000
Mn1 Mn 0.121 0.621 0.500
Ag1 Ag 0.000 0.000 0.500
```

Calculated values
The value obtained for the energy of formation is 50 kJ/mol of formula units.

---

(17)
## ScCd2Hg (PBE-GGA)

Data for a relaxed structure of ScCd2Hg.

The structure in CIF format:
```
data_ScCd2Hg
_chemical_formula_sum 'Sc4 Cd8 Hg4'
_cell_length_a 8.088
_cell_length_b 8.088
_cell_length_c 5.981
_cell_angle_alpha 90.00
_cell_angle_beta 90.00
_cell_angle_gamma 90.00
_symmetry_space_group_name_H-M 'I -4 2 d'
_symmetry_Int_Tables_number 122
_symmetry_space_group_name_Hall 'I -4 2bw'
loop_
_atom_site_label
_atom_site_type_symbol
_atom_site_fract_x
_atom_site_fract_y
_atom_site_fract_z
Sc1 Sc 0.000 0.000 0.000
Cd1 Cd 0.237 0.250 0.625
Hg1 Hg 0.000 0.000 0.500
```

Calculated values
The value obtained for the energy of formation is 2 kJ/mol of formula units.

---

(18)
## RbNaPS4 (PBE-GGA)

Data for a relaxed structure of RbNaPS4.

The structure in CIF format:
```
data_RbNaPS4
_chemical_formula_sum 'Rb2 Na2 P2 S8'
_cell_length_a 6.879
_cell_length_b 6.227
_cell_length_c 9.680
_cell_angle_alpha 90.00
_cell_angle_beta 107.21
_cell_angle_gamma 90.00
_symmetry_space_group_name_H-M 'P 1 21/m 1'
_symmetry_Int_Tables_number 11
_symmetry_space_group_name_Hall '-P 2yb'
loop_
_atom_site_label
_atom_site_type_symbol
_atom_site_fract_x
_atom_site_fract_y
_atom_site_fract_z
Rb1 Rb 0.242 0.250 0.036
Na1 Na 0.197 0.250 0.575
P1 P 0.244 0.750 0.305
S1 S 0.050 0.006 0.287
S2 S 0.393 0.750 0.152
S3 S 0.454 0.750 0.509
```

Calculated values
For the formation energy (no corrections), the calculation gives -4.7 eV per formula unit.

---

(19)
## CdRe3O12 (PBE-GGA)

Data for a relaxed structure of CdRe3O12.

The structure in CIF format:
```
data_CdRe3O12
_chemical_formula_sum 'Cd6 Re18 O72'
_cell_length_a 9.1268
_cell_length_b 9.1268
_cell_length_c 30.7147
_cell_angle_alpha 90.00
_cell_angle_beta 90.00
_cell_angle_gamma 120.00
_symmetry_space_group_name_H-M 'R 3 c'
_symmetry_Int_Tables_number 161
_symmetry_space_group_name_Hall 'R 3 -2"c'
loop_
_atom_site_label
_atom_site_type_symbol
_atom_site_fract_x
_atom_site_fract_y
_atom_site_fract_z
Cd1 Cd 0.0000 0.0000 0.0000
Re1 Re 0.0603 0.3801 0.0731
O1 O 0.0436 0.2239 0.7525
O2 O 0.0900 0.2313 0.0436
O3 O 0.1057 0.2200 0.8751
O4 O 0.1789 0.4373 0.1218
```

Calculated values
For the formation energy (no corrections), the calculation gives -22.3 eV per formula unit.

---

(20)
## NdThCdC (PBE-GGA)

Data for a relaxed structure of NdThCdC.

The structure in CIF format:
```
data_NdThCdC
_chemical_formula_sum 'Nd3 Th3 Cd3 C3'
_cell_length_a 3.6816
_cell_length_b 3.6816
_cell_length_c 25.5452
_cell_angle_alpha 90.00
_cell_angle_beta 90.00
_cell_angle_gamma 120.00
_symmetry_space_group_name_H-M 'R 3 m'
_symmetry_Int_Tables_number 160
_symmetry_space_group_name_Hall 'R 3 -2"'
loop_
_atom_site_label
_atom_site_type_symbol
_atom_site_fract_x
_atom_site_fract_y
_atom_site_fract_z
Nd1 Nd 0.0000 0.0000 0.0000
Th1 Th 0.0000 0.0000 0.7794
Cd1 Cd 0.0000 0.0000 0.2251
C1 C 0.0000 0.0000 0.3934
```

Calculated values
The value obtained for the energy of formation is -82 kJ/mol of formula units.

---

One value per record, in order, for E: -0.22527 -0.21780 -0.28072 -0.55324 -0.45824 -0.70187 -0.40200 -0.46006 -0.28219 -0.25122 -0.68987 -0.29740 -0.55864 -0.22897 -0.27889 -0.49387 -0.15507 -0.30399 -0.55168 -0.42581 Ry per atom.